Below is a geometry-optimized Pm4SbTe3 structure, with properties calculated at the GGA-PBE level.

The uncorrected formation energy comes out at -1.381 eV/atom. The total moment is 0.0 μB/f.u. The space group is Cmmm, No. 65. The electronic total energy is -43.60 eV per formula unit.

Structure (CIF):
```
data_Pm4SbTe3
_chemical_formula_sum 'Pm4 Sb1 Te3'
_cell_length_a 4.4567
_cell_length_b 7.7636
_cell_length_c 7.7636
_cell_angle_alpha 109.21
_cell_angle_beta 90.00
_cell_angle_gamma 90.00
_space_group_name_H-M_alt 'P 1'
_space_group_IT_number 1
loop_
_space_group_symop_operation_xyz
'x,y,z'
loop_
_atom_site_label
_atom_site_type_symbol
_atom_site_fract_x
_atom_site_fract_y
_atom_site_fract_z
Pm1 Pm 0.0000 0.7582 0.7582
Pm2 Pm 0.5000 0.7549 0.2451
Pm3 Pm 0.0000 0.2418 0.2418
Pm4 Pm 0.5000 0.2451 0.7549
Te1 Te 0.0000 0.5000 0.0000
Te2 Te 0.5000 0.5000 0.5000
Te3 Te 0.0000 0.0000 0.5000
Sb1 Sb 0.5000 0.0000 0.0000
```

***

Below is a geometry-optimized CaSc2H structure, with properties calculated at the GGA-PBE level.

The calculation puts the energy above the most stable polymorph in this dataset at 1001.8 meV/atom. The total moment is 0.0 μB/f.u. The space group is Fm-3m, No. 225. The electronic total energy is -14.42 eV per formula unit.

Structure (CIF):
```
data_CaSc2H
_chemical_formula_sum 'Ca1 Sc2 H1'
_cell_length_a 5.0998
_cell_length_b 5.0998
_cell_length_c 5.0998
_cell_angle_alpha 60.00
_cell_angle_beta 60.00
_cell_angle_gamma 60.00
_space_group_name_H-M_alt 'P 1'
_space_group_IT_number 1
loop_
_space_group_symop_operation_xyz
'x,y,z'
loop_
_atom_site_label
_atom_site_type_symbol
_atom_site_fract_x
_atom_site_fract_y
_atom_site_fract_z
Sc1 Sc 0.7500 0.7500 0.7500
Sc2 Sc 0.2500 0.2500 0.2500
H1 H 0.0000 0.0000 0.0000
Ca1 Ca 0.5000 0.5000 0.5000
```

***

Below is a geometry-optimized LaCdTePH structure, with properties calculated at the GGA-PBE level.

The calculation puts the energy above the most stable polymorph in this dataset at 0.0 meV/atom. The total moment is 0.0 μB/f.u. The space group is Pm, No. 6. The electronic total energy is -21.24 eV per formula unit.

Structure (CIF):
```
data_LaCdTePH
_chemical_formula_sum 'La1 Cd1 Te1 P1 H1'
_cell_length_a 4.1720
_cell_length_b 4.4555
_cell_length_c 6.1979
_cell_angle_alpha 90.00
_cell_angle_beta 105.15
_cell_angle_gamma 90.00
_space_group_name_H-M_alt 'P 1'
_space_group_IT_number 1
loop_
_space_group_symop_operation_xyz
'x,y,z'
loop_
_atom_site_label
_atom_site_type_symbol
_atom_site_fract_x
_atom_site_fract_y
_atom_site_fract_z
H1 H 0.5621 0.5000 0.2552
Te1 Te 0.9200 0.0000 0.5980
Cd1 Cd 0.4086 0.5000 0.6473
La1 La 0.2516 0.0000 0.1655
P1 P 0.7379 0.5000 0.0740
```

***

Below is a geometry-optimized In2P structure, with properties calculated at the GGA-PBE level.

The calculation puts the energy above the most stable polymorph in this dataset at 101.7 meV/atom. The total moment is 0.0 μB/f.u. The space group is Pnnm, No. 58. The electronic total energy is -10.68 eV per formula unit. The formation energy from the elements comes out at 0.0673 eV/atom.

Structure (CIF):
```
data_In2P
_chemical_formula_sum 'In4 P2'
_cell_length_a 4.0071
_cell_length_b 5.7330
_cell_length_c 6.8128
_cell_angle_alpha 90.00
_cell_angle_beta 90.00
_cell_angle_gamma 90.00
_space_group_name_H-M_alt 'P 1'
_space_group_IT_number 1
loop_
_space_group_symop_operation_xyz
'x,y,z'
loop_
_atom_site_label
_atom_site_type_symbol
_atom_site_fract_x
_atom_site_fract_y
_atom_site_fract_z
In1 In 0.0000 0.7944 0.3715
In2 In 0.5000 0.7056 0.8715
In3 In 0.0000 0.2056 0.6285
In4 In 0.5000 0.2944 0.1285
P1 P 0.5000 0.5000 0.5000
P2 P 0.0000 0.0000 0.0000
```

***

Below is a geometry-optimized KSr2AgPt structure, with properties calculated at the GGA-PBE level.

The total moment is 0.0 μB/f.u. The space group is P4/mmm, No. 123. The electronic total energy is -14.52 eV per formula unit. The formation energy from the elements comes out at -0.2338 eV/atom.

Structure (CIF):
```
data_KSr2AgPt
_chemical_formula_sum 'K1 Sr2 Ag1 Pt1'
_cell_length_a 5.8164
_cell_length_b 5.8164
_cell_length_c 5.5584
_cell_angle_alpha 90.00
_cell_angle_beta 90.00
_cell_angle_gamma 90.00
_space_group_name_H-M_alt 'P 1'
_space_group_IT_number 1
loop_
_space_group_symop_operation_xyz
'x,y,z'
loop_
_atom_site_label
_atom_site_type_symbol
_atom_site_fract_x
_atom_site_fract_y
_atom_site_fract_z
Sr1 Sr 0.5000 0.0000 0.0000
Sr2 Sr 0.0000 0.5000 0.0000
Ag1 Ag 0.0000 0.0000 0.5000
K1 K 0.5000 0.5000 0.5000
Pt1 Pt 0.0000 0.0000 0.0000
```

***

Below is a geometry-optimized Al2O3 structure, with properties calculated at the GGA-PBE level.

The uncorrected formation energy comes out at -2.964 eV/atom. The total moment is 0.0 μB/f.u. The space group is Cmc2_1, No. 36. The electronic total energy is -37.18 eV per formula unit.

Structure (CIF):
```
data_Al2O3
_chemical_formula_sum 'Al4 O6'
_cell_length_a 5.6139
_cell_length_b 5.6139
_cell_length_c 4.9835
_cell_angle_alpha 90.00
_cell_angle_beta 90.00
_cell_angle_gamma 120.49
_space_group_name_H-M_alt 'P 1'
_space_group_IT_number 1
loop_
_space_group_symop_operation_xyz
'x,y,z'
loop_
_atom_site_label
_atom_site_type_symbol
_atom_site_fract_x
_atom_site_fract_y
_atom_site_fract_z
Al1 Al 0.0083 0.6718 0.9318
Al2 Al 0.6718 0.0083 0.9318
Al3 Al 0.9917 0.3282 0.4318
Al4 Al 0.3282 0.9917 0.4318
O1 O 0.3414 0.8972 0.0885
O2 O 0.6586 0.1028 0.5885
O3 O 0.2171 0.2171 0.4871
O4 O 0.1028 0.6586 0.5885
O5 O 0.7829 0.7829 0.9871
O6 O 0.8972 0.3414 0.0885
```